# CrSb3F PBE with a Hubbard U optimized geometry
data_CrSb3F
_chemical_formula_sum 'Cr1 Sb3 F1'
_symmetry_space_group_name_H-M 'P m -3 m'
_symmetry_Int_Tables_number 221
_symmetry_space_group_name_Hall '-P 4 2 3'
_cell_length_a 4.919
_cell_length_b 4.919
_cell_length_c 4.919
_cell_angle_alpha 90.00
_cell_angle_beta 90.00
_cell_angle_gamma 90.00
loop_
_atom_site_label
_atom_site_type_symbol
_atom_site_fract_x
_atom_site_fract_y
_atom_site_fract_z
Cr1 Cr 0.000 0.000 0.000
Sb1 Sb 0.000 0.500 0.500
F1 F 0.500 0.500 0.500
# Energy (eV/atom): -4.3241
# Spin magnetization (μB/atom): 0.821